1.
TbB4Mo: relaxed, PBE.

```
TbB4Mo
1.0
3.6355 0.0000 0.0000
0.0000 6.0468 0.0000
0.0000 0.0000 11.6817
B Tb Mo
16 4 4
direct
0.5000 0.5242 0.8068 B
0.5000 0.2141 0.8140 B
0.5000 0.7859 0.1860 B
0.5000 0.6338 0.5319 B
0.5000 0.3861 0.0473 B
0.5000 0.1139 0.5473 B
0.5000 0.9758 0.3068 B
0.5000 0.8662 0.0319 B
0.5000 0.8861 0.4527 B
0.5000 0.6139 0.9527 B
0.5000 0.3662 0.4681 B
0.5000 0.7141 0.6860 B
0.5000 0.2859 0.3140 B
0.5000 0.0242 0.6932 B
0.5000 0.4758 0.1932 B
0.5000 0.1338 0.9681 B
0.0000 0.8734 0.8502 Tb
0.0000 0.1266 0.1498 Tb
0.0000 0.6266 0.3502 Tb
0.0000 0.3734 0.6498 Tb
0.0000 0.8706 0.5835 Mo
0.0000 0.3706 0.9165 Mo
0.0000 0.1294 0.4165 Mo
0.0000 0.6294 0.0835 Mo
```

Output
E_form ... -0.623 eV/atom
Space group ... Pbam, No. 55



2.
Ni2PdSe3: relaxed, PBE.

```
Ni2PdSe3
1.0
-3.0344 -1.8606 -3.0516
5.2318 -0.4852 -4.9081
-1.2037 -5.4584 4.5247
Ni Pd Se
4 2 6
direct
0.0000 0.0000 0.0000 Ni
0.0000 0.5000 0.0000 Ni
0.0000 0.0000 0.5000 Ni
0.0000 0.5000 0.5000 Ni
0.6452 0.6667 0.3333 Pd
0.3548 0.3333 0.6667 Pd
0.2453 0.3563 0.1782 Se
0.2455 0.8217 0.1782 Se
0.7545 0.1783 0.8218 Se
0.7545 0.1783 0.3565 Se
0.7547 0.6437 0.8218 Se
0.2455 0.8217 0.6435 Se
```

Output
Formation energy (no corrections) ... -0.179 eV/atom
Energy above the most stable polymorph in this dataset ... 46 meV per atom
Space group ... P-3m1, No. 164



3.
K3Dy2InSe6: relaxed, PBE.

```
K3Dy2InSe6
1.0
-6.9473 1.6941 -1.1749
4.3325 -1.6048 -5.5830
-1.0505 -7.4641 2.8977
In K Se Dy
1 3 6 2
direct
0.0000 0.0000 0.0000 In
0.1672 0.8328 0.5000 K
0.5000 0.5000 0.5000 K
0.8328 0.1672 0.5000 K
0.6045 0.9322 0.7965 Se
0.9322 0.6045 0.7965 Se
0.0678 0.3955 0.2035 Se
0.7401 0.7401 0.2037 Se
0.3955 0.0678 0.2035 Se
0.2599 0.2599 0.7963 Se
0.6666 0.3334 0.0000 Dy
0.3334 0.6666 0.0000 Dy
```

Output
Formation energy (no corrections) ... -1.438 eV/atom
Space group ... C2/m, No. 12



4.
YNb2InMo: relaxed, PBE.

```
YNb2InMo
1.0
4.8405 0.0000 0.0000
0.0000 5.2808 0.0000
0.0000 0.0000 4.8405
Y In Nb Mo
1 1 2 1
direct
0.5000 0.5000 0.5000 Y
0.0000 0.5000 0.0000 In
0.0000 0.0000 0.5000 Nb
0.5000 0.0000 0.0000 Nb
0.0000 0.0000 0.0000 Mo
```

Output
E_form ... 0.707 eV/atom
Space group ... P4/mmm, No. 123



5.
NbTe6Pt2: relaxed, PBE.

```
NbTe6Pt2
1.0
-1.9038 4.1747 -3.5424
-7.6146 3.5432 4.2772
5.2940 7.5275 2.0351
Pt Nb Te
4 2 12
direct
0.8927 0.7201 0.5261 Pt
0.1073 0.2799 0.4739 Pt
0.6073 0.4739 0.2799 Pt
0.3927 0.5261 0.7201 Pt
0.7500 0.9333 0.0667 Nb
0.2500 0.0667 0.9333 Nb
0.6593 0.6522 0.0673 Te
0.8407 0.9327 0.3478 Te
0.7406 0.9321 0.7699 Te
0.5834 0.3045 0.4963 Te
0.2594 0.0679 0.2301 Te
0.1593 0.0673 0.6522 Te
0.7594 0.2301 0.0679 Te
0.2406 0.7699 0.9321 Te
0.4166 0.6955 0.5037 Te
0.0834 0.4963 0.3045 Te
0.3407 0.3478 0.9327 Te
0.9166 0.5037 0.6955 Te
```

Output
Formation energy (no corrections) ... -0.249 eV/atom
Space group ... C2/c, No. 15



6.
Pm4GeIr: relaxed, PBE.

```
Pm4GeIr
1.0
7.0993 0.0000 -0.0146
0.0000 7.1032 0.0000
-0.1191 0.0000 7.2552
Ir Pm Ge
2 8 2
direct
0.5000 0.0000 0.5000 Ir
0.0000 0.5000 0.5000 Ir
0.3320 0.3370 0.3487 Pm
0.1539 0.3399 0.8263 Pm
0.6539 0.1601 0.8263 Pm
0.1680 0.8370 0.6513 Pm
0.8461 0.6601 0.1737 Pm
0.3461 0.8399 0.1737 Pm
0.6680 0.6630 0.6513 Pm
0.8320 0.1630 0.3487 Pm
0.5000 0.5000 0.0000 Ge
0.0000 0.0000 0.0000 Ge
```

Output
E_form ... -0.494 eV/atom
Space group ... P2_1/c, No. 14



7.
CdCu2As2: relaxed, PBE.

```
CdCu2As2
1.0
-3.1391 -0.9061 2.6538
2.8035 -1.1036 2.9394
-0.0907 3.8362 4.5407
As Cd Cu
2 1 2
direct
0.3775 0.3775 0.2450 As
0.6225 0.6225 0.7550 As
0.0000 0.0000 0.0000 Cd
0.7500 0.2500 0.5000 Cu
0.2500 0.7500 0.5000 Cu
```

Output
E_form ... 0.106 eV/atom
Energy above the most stable polymorph in this dataset ... 0 meV per atom
Space group ... I4/mmm, No. 139



8.
Tb6AgC3: relaxed, PBE.

```
Tb6AgC3
1.0
3.6211 0.0000 0.0000
0.0000 10.4280 -3.6425
0.0000 0.2121 11.5582
Tb Ag C
12 2 6
direct
0.2500 0.6451 0.1392 Tb
0.2500 0.8204 0.4350 Tb
0.7500 0.7556 0.6692 Tb
0.7500 0.1796 0.5650 Tb
0.7500 0.1351 0.0493 Tb
0.7500 0.5373 0.3813 Tb
0.7500 0.9452 0.2356 Tb
0.7500 0.3549 0.8608 Tb
0.2500 0.2444 0.3308 Tb
0.2500 0.4627 0.6187 Tb
0.2500 0.0548 0.7644 Tb
0.2500 0.8649 0.9507 Tb
0.2500 0.3717 0.1125 Ag
0.7500 0.6283 0.8875 Ag
0.7500 0.3482 0.4693 C
0.7500 0.9611 0.8562 C
0.2500 0.6518 0.5307 C
0.2500 0.0389 0.1438 C
0.2500 0.2614 0.7139 C
0.7500 0.7386 0.2861 C
```

Output
E_form ... -0.229 eV/atom
Space group ... P2_1/m, No. 11



9.
TlAg2Se2: relaxed, PBE.

```
TlAg2Se2
1.0
-4.1277 -7.1495 -1.3224
-0.3705 -1.3118 8.2488
-2.8000 1.5929 0.1276
Se Tl Ag
4 2 4
direct
0.8284 0.3284 0.5000 Se
0.6716 0.8284 0.5000 Se
0.3284 0.1716 0.5000 Se
0.1716 0.6716 0.5000 Se
0.0000 0.0000 0.0000 Tl
0.5000 0.5000 0.0000 Tl
0.8736 0.6264 0.0000 Ag
0.6264 0.1264 0.0000 Ag
0.3736 0.8736 0.0000 Ag
0.1264 0.3736 0.0000 Ag
```

Output
Formation energy (no corrections) ... -0.032 eV/atom
Energy above the most stable polymorph in this dataset ... 100 meV per atom
Space group ... P4/mbm, No. 127



10.
NdThC: relaxed, PBE.

```
NdThC
1.0
3.3176 0.0000 0.0000
0.0000 3.3176 0.0000
-1.6588 -1.6588 6.2368
Th Nd C
1 1 1
direct
0.7235 0.7235 0.4469 Th
0.9610 0.9610 0.9219 Nd
0.3156 0.3156 0.6311 C
```

Output
E_form ... 0.298 eV/atom
Energy above the most stable polymorph in this dataset ... 483 meV per atom
Space group ... I4mm, No. 107



11.
CeNdIrO6: relaxed, PBE.

```
CeNdIrO6
1.0
-0.9885 -0.8708 5.3930
-2.8598 -2.8152 -3.8361
6.9856 -7.2465 0.1104
O Ir Nd Ce
12 2 2 2
direct
0.3321 0.9622 0.6385 O
0.6679 0.0378 0.3615 O
0.0378 0.3699 0.6385 O
0.6301 0.6679 0.6385 O
0.3699 0.3321 0.3615 O
0.6679 0.6301 0.1385 O
0.0378 0.6679 0.8615 O
0.3699 0.0378 0.1385 O
0.9622 0.6301 0.3615 O
0.6301 0.9622 0.8615 O
0.3321 0.3699 0.8615 O
0.9622 0.3321 0.1385 O
0.3333 0.6667 0.7500 Ir
0.6667 0.3333 0.2500 Ir
0.0000 0.0000 0.0000 Nd
0.0000 0.0000 0.5000 Nd
0.3333 0.6667 0.2500 Ce
0.6667 0.3333 0.7500 Ce
```

Output
Formation energy (no corrections) ... -2.277 eV/atom
Space group ... P-31c, No. 163



12.
TbYLuAl: relaxed, PBE.

```
TbYLuAl
1.0
5.3246 0.0000 0.0000
2.6623 4.6112 0.0000
2.6623 1.5371 4.3475
Lu Tb Y Al
1 1 1 1
direct
0.2500 0.2500 0.2500 Lu
0.5000 0.5000 0.5000 Tb
0.0000 0.0000 0.0000 Y
0.7500 0.7500 0.7500 Al
```

Output
E_form ... -0.084 eV/atom
Space group ... F-43m, No. 216



13.
SrMnAu2: relaxed, PBE.

```
SrMnAu2
1.0
3.5431 0.0000 0.0000
0.0000 3.4823 -0.0046
0.0000 3.4699 7.1300
Sr Au Mn
1 2 1
direct
0.5000 0.7500 0.7500 Sr
0.0000 0.5502 0.4493 Au
0.0000 0.9498 0.0507 Au
0.5000 0.2500 0.2500 Mn
```

Output
E_form ... -0.286 eV/atom
Space group ... P2/m, No. 10



14.
AlOF3: relaxed, PBE.

```
AlOF3
1.0
-1.7360 -3.1930 -0.6866
1.0812 0.1719 -3.5329
3.0818 -1.8589 0.8527
O F Al
1 3 1
direct
0.5000 0.5000 0.5000 O
0.5000 0.0000 0.0000 F
0.0000 0.5000 0.0000 F
0.0000 0.0000 0.5000 F
0.0000 0.0000 0.0000 Al
```

Output
Formation energy (no corrections) ... -2.090 eV/atom
Energy above the most stable polymorph in this dataset ... 530 meV per atom
Space group ... Pm-3m, No. 221



15.
CuH3Pd2: relaxed, PBE.

```
CuH3Pd2
1.0
-2.6869 -0.7756 -3.6134
4.5041 -1.0949 -3.1143
-3.2513 -3.2940 3.1247
H Pd Cu
6 4 2
direct
0.3843 0.6020 0.6020 H
0.9855 0.7520 0.2436 H
0.4855 0.7564 0.2480 H
0.9855 0.2436 0.7520 H
0.8843 0.3980 0.3980 H
0.4855 0.2480 0.7564 H
0.2364 0.5983 0.9025 Pd
0.7364 0.4017 0.0975 Pd
0.7364 0.0975 0.4017 Pd
0.2364 0.9025 0.5983 Pd
0.2398 0.2302 0.2302 Cu
0.7398 0.7698 0.7698 Cu
```

Output
Total energy ... -49.449 eV for the cell shown
Space group ... Cmc2_1, No. 36



16.
Li2TbPd9: relaxed, PBE.

```
Li2TbPd9
1.0
4.0399 0.0000 0.0000
0.0000 4.0399 0.0000
0.0000 0.0000 11.5806
Pd Li Tb
9 2 1
direct
0.0000 0.5000 0.5000 Pd
0.5000 0.0000 0.1818 Pd
0.5000 0.5000 0.0000 Pd
0.5000 0.5000 0.3413 Pd
0.5000 0.5000 0.6587 Pd
0.5000 0.0000 0.5000 Pd
0.0000 0.5000 0.1818 Pd
0.0000 0.5000 0.8182 Pd
0.5000 0.0000 0.8182 Pd
0.0000 0.0000 0.3427 Li
0.0000 0.0000 0.6573 Li
0.0000 0.0000 0.0000 Tb
```

Output
E_form ... -0.448 eV/atom
Space group ... P4/mmm, No. 123



17.
TeAs: relaxed, PBE.

```
TeAs
1.0
8.7552 0.0000 0.0000
0.0000 8.7552 0.0000
0.0000 0.0000 5.9412
As Te
8 8
direct
0.0721 0.2838 0.5000 As
0.2162 0.5721 0.0000 As
0.7162 0.0721 0.5000 As
0.2838 0.9279 0.5000 As
0.4279 0.2162 0.0000 As
0.5721 0.7838 0.0000 As
0.7838 0.4279 0.0000 As
0.9279 0.7162 0.5000 As
0.9277 0.7125 0.0000 Te
0.2125 0.5723 0.5000 Te
0.7875 0.4277 0.5000 Te
0.5723 0.7875 0.5000 Te
0.0723 0.2875 0.0000 Te
0.7125 0.0723 0.0000 Te
0.4277 0.2125 0.5000 Te
0.2875 0.9277 0.0000 Te
```

Output
Formation energy (no corrections) ... 0.149 eV/atom
Space group ... I4/m, No. 87



18.
TbSm5Th4: relaxed, PBE.

```
TbSm5Th4
1.0
-1.6124 -2.0736 2.4720
3.8522 -6.9943 -0.7228
3.7728 6.5112 10.5540
Th Tb Sm
4 1 5
direct
0.1973 0.4028 0.2026 Th
0.5992 0.2007 0.6008 Th
0.4008 0.7993 0.3992 Th
0.8027 0.5972 0.7974 Th
0.0000 0.0000 0.0000 Tb
0.3971 0.3066 0.8992 Sm
0.7977 0.1014 0.3032 Sm
0.0000 0.5000 0.5000 Sm
0.6029 0.6934 0.1008 Sm
0.2023 0.8986 0.6968 Sm
```

Output
E_form ... 0.046 eV/atom
Space group ... C2/m, No. 12



19.
SbPdRuAu: relaxed, PBE.

```
SbPdRuAu
1.0
-3.5571 -0.4247 2.8642
-2.2664 -3.9785 0.2677
0.3778 -2.6063 3.7552
Pd Sb Au Ru
1 1 1 1
direct
0.7500 0.7500 0.7500 Pd
0.5000 0.5000 0.5000 Sb
0.0000 0.0000 0.0000 Au
0.2500 0.2500 0.2500 Ru
```

Output
Formation energy (no corrections) ... 0.008 eV/atom
Space group ... F-43m, No. 216



20.
BeIrRu: relaxed, PBE.

```
BeIrRu
1.0
6.4826 0.0029 -0.0019
5.6888 2.5414 0.0108
0.7938 -1.0250 2.3225
Ir Be Ru
1 1 1
direct
0.3473 0.3473 0.6527 Ir
0.9994 0.9994 0.0006 Be
0.6533 0.6533 0.3467 Ru
```

Output
E_form ... 0.096 eV/atom
Energy above the most stable polymorph in this dataset ... 363 meV per atom
Space group ... Fmm2, No. 42



21.
Rb2MoBrCl6: relaxed, PBE.

```
Rb2MoBrCl6
1.0
7.8390 1.7432 1.4420
5.3300 7.7481 0.1397
5.8382 2.4310 7.8133
Rb Cl Br Mo
2 6 1 1
direct
0.4337 0.4421 0.4548 Rb
0.2168 0.8932 0.9507 Rb
0.7671 0.0420 0.8381 Cl
0.4586 0.5380 0.7283 Cl
0.5339 0.3634 0.0789 Cl
0.0895 0.3347 0.9586 Cl
0.8576 0.6490 0.2026 Cl
0.1670 0.1542 0.3133 Cl
0.8232 0.9040 0.4663 Br
0.3142 0.3410 0.0236 Mo
```

Output
Formation energy (no corrections) ... -1.227 eV/atom
Energy above the most stable polymorph in this dataset ... 0 meV per atom
Space group ... P1, No. 1



22.
Tl2GeBr2F2: relaxed, PBE.

```
Tl2GeBr2F2
1.0
-3.2265 1.6082 2.8385
2.2966 -1.7158 3.5826
4.7863 7.4016 -2.4617
Tl Ge F Br
2 1 2 2
direct
0.6296 0.6296 0.2593 Tl
0.3704 0.3704 0.7407 Tl
0.0000 0.0000 0.0000 Ge
0.5000 0.0000 0.0000 F
0.0000 0.5000 0.0000 F
0.1694 0.1694 0.3389 Br
0.8306 0.8306 0.6611 Br
```

Output
Formation energy (no corrections) ... -1.317 eV/atom
Space group ... I4/mmm, No. 139